w | Ba2CoAsN: optimized geometry, GGA-PBE.

Cell lengths 5.919, 5.919, 3.522 Å; angles 90.00, 90.00, 90.00 degrees
Space group P4/mmm (No. 123)
Symmetry-distinct sites (fractional):
Ba: 0.000 0.500 0.000 x2
Co: 0.000 0.000 0.500 x1
As: 0.500 0.500 0.500 x1
N: 0.000 0.000 0.000 x1

x | Ba2CoAsN: optimized geometry, GGA-PBE.

Cell lengths 6.899, 4.171, 9.522 Å; angles 90.00, 110.07, 90.00 degrees
Space group P2_1/m (No. 11)
Symmetry-distinct sites (fractional):
Ba: 0.209 0.250 0.386 x2
Ba: 0.227 0.250 0.968 x2
Co: 0.473 0.750 0.246 x2
As: 0.341 0.750 0.703 x2
N: 0.202 0.750 0.174 x2

Which structure is most stable? x, by 2.1 kJ/mol of atoms over the runner-up.